# 1
## Pa2TePt2 (GGA-PBE)

Data for a relaxed structure of Pa2TePt2.

Unit cell a=3.728 b=7.849 c=7.849 alpha=90.00 beta=90.00 gamma=90.00
Each line ends with the local moment (μB).
Fractional positions:
1 Pt 0.500 0.628 0.628  0.00
2 Pa 0.000 0.329 0.671  0.07
3 Pa 0.000 0.829 0.829  0.07
4 Te 0.500 0.500 0.000  0.00
5 Pt 0.500 0.128 0.872  0.00
6 Pt 0.500 0.872 0.128  0.00
7 Pt 0.500 0.372 0.372  0.00
8 Pa 0.000 0.671 0.329  0.07
9 Te 0.500 0.000 0.500  0.00
10 Pa 0.000 0.171 0.171  0.07

Values from the calculation:
The calculation puts the formation energy without anion corrections at -412 kJ/mol of formula units. As for the calculated volume: 229.7 Å³/cell. As for the space group: P4/mbm, No. 127. The calculation puts the total energy at -7.70 eV/atom.

# 2
## BaLa2PdO5 (GGA-PBE)

Data for a relaxed structure of BaLa2PdO5.

Unit cell a=6.927 b=6.927 c=5.996 alpha=90.00 beta=90.00 gamma=90.00
Fractional positions:
1 O 0.642 0.858 0.247
2 La 0.176 0.324 0.500
3 Pd 0.000 0.500 0.000
4 O 0.358 0.142 0.247
5 La 0.824 0.676 0.500
6 La 0.324 0.824 0.500
7 O 0.858 0.358 0.247
8 O 0.142 0.642 0.247
9 La 0.676 0.176 0.500
10 O 0.858 0.358 0.753
11 Ba 0.000 0.000 0.000
12 Ba 0.500 0.500 0.000
13 O 0.000 0.000 0.500
14 O 0.642 0.858 0.753
15 O 0.142 0.642 0.753
16 O 0.358 0.142 0.753
17 Pd 0.500 0.000 0.000
18 O 0.500 0.500 0.500

Values from the calculation:
The calculation puts the formation energy without anion corrections at -2291 kJ/mol of formula units. The value obtained for the excess energy over the best structure of this formula in the dataset is 0 meV per atom. As for the calculated volume: 287.7 Å³/cell. As for the space group: P4/mbm, No. 127. The calculation puts the total energy at -7.28 eV/atom.

# 3
## Sr2TcSe (GGA-PBE)

Data for a relaxed structure of Sr2TcSe.

Unit cell a=3.761 b=3.761 c=7.822 alpha=90.00 beta=90.00 gamma=90.00
Each line ends with the local moment (μB).
Fractional positions:
1 Sr 0.000 0.000 0.516  -0.01
2 Tc 0.500 0.500 0.250  2.27
3 Sr 0.000 0.000 0.984  -0.01
4 Se 0.500 0.500 0.750  0.04

Values from the calculation:
The calculation puts the formation energy without anion corrections at -70 kJ/mol of formula units. As for the calculated volume: 110.6 Å³/cell. As for the space group: P4/mmm, No. 123. The calculation puts the total energy at -4.48 eV/atom.

# 4
## NpCo3Ge (GGA-PBE)

Data for a relaxed structure of NpCo3Ge.

Unit cell a=5.108 b=8.003 c=5.899 alpha=132.72 beta=115.66 gamma=90.00
Each line ends with the local moment (μB).
Fractional positions:
1 Co 0.693 0.693 0.886  -0.68
2 Co 0.307 0.307 0.114  -0.68
3 Np 0.250 0.259 0.500  3.25
4 Co 0.807 0.307 0.114  -0.68
5 Co 0.193 0.693 0.886  -0.68
6 Np 0.750 0.741 0.500  3.25
7 Ge 0.500 0.000 0.000  0.01
8 Co 0.750 0.035 0.500  -0.82
9 Ge 0.000 0.500 0.000  0.01
10 Co 0.250 0.965 0.500  -0.82

Values from the calculation:
As for the calculated volume: 143.1 Å³/cell. As for the space group: Imma, No. 74. The calculated formation energy is -0.09 eV/atom. The calculation puts the total energy at -7.87 eV/atom.

# 5
## NiHgN3 (GGA-PBE)

Data for a relaxed structure of NiHgN3.

Unit cell a=4.128 b=4.128 c=4.128 alpha=90.00 beta=90.00 gamma=90.00
Each line ends with the local moment (μB).
Fractional positions:
1 N 0.000 0.000 0.500  -0.07
2 N 0.000 0.500 0.000  -0.15
3 N 0.500 0.000 0.000  -0.23
4 Ni 0.500 0.500 0.500  0.91
5 Hg 0.000 0.000 0.000  -0.01

Values from the calculation:
The calculation puts the formation energy without anion corrections at 1488 kJ/mol of formula units. As for the calculated volume: 70.3 Å³/cell. As for the space group: Pm-3m, No. 221. The calculation puts the total energy at -3.13 eV/atom.

> The lowest calculated volume belongs to which entry?

NiHgN3

> Which value of calculated volume does entry 3 give?

110.6 Å³/cell

> Number 2 is which compound?

BaLa2PdO5

Repeat the second record exactly.
## BaLa2PdO5 (GGA-PBE)

Data for a relaxed structure of BaLa2PdO5.

Unit cell a=6.927 b=6.927 c=5.996 alpha=90.00 beta=90.00 gamma=90.00
Fractional positions:
1 O 0.642 0.858 0.247
2 La 0.176 0.324 0.500
3 Pd 0.000 0.500 0.000
4 O 0.358 0.142 0.247
5 La 0.824 0.676 0.500
6 La 0.324 0.824 0.500
7 O 0.858 0.358 0.247
8 O 0.142 0.642 0.247
9 La 0.676 0.176 0.500
10 O 0.858 0.358 0.753
11 Ba 0.000 0.000 0.000
12 Ba 0.500 0.500 0.000
13 O 0.000 0.000 0.500
14 O 0.642 0.858 0.753
15 O 0.142 0.642 0.753
16 O 0.358 0.142 0.753
17 Pd 0.500 0.000 0.000
18 O 0.500 0.500 0.500

Values from the calculation:
The calculation puts the formation energy without anion corrections at -2291 kJ/mol of formula units. The value obtained for the excess energy over the best structure of this formula in the dataset is 0 meV per atom. As for the calculated volume: 287.7 Å³/cell. As for the space group: P4/mbm, No. 127. The calculation puts the total energy at -7.28 eV/atom.